(1)
Compound: MnOs2Au
Source: Alexandria via LeMat-Bulk
Functional: PBE
Structure: optimized geometry

Unit cell a=2.8008 b=2.8008 c=7.7991 alpha=90.00 beta=90.00 gamma=90.00
Last column: nearest neighbours and their distance in Å.
Positions (direct):
Mn1 0.5000 0.5000 0.7619  4 Os 2.76, 4 Mn 2.80, 4 Au 2.82
Os1 0.0000 0.0000 0.0083  8 Os 2.60-2.80, 4 Mn 2.76
Os2 0.5000 0.5000 0.2247  8 Os 2.60-2.80
Au1 0.0000 0.0000 0.5051  4 Au 2.80, 4 Mn 2.82, 4 Os 2.95

Output
- Space group: P4mm
- D(E_F): 0.94 states/eV/atom
- DFT formation energy: 0.2259 eV per atom



(2)
Compound: LaSm2Er2Tm2
Source: Alexandria via LeMat-Bulk
Functional: PBE
Structure: optimized geometry

Unit cell a=3.4988 b=6.0261 c=11.7481 alpha=79.23 beta=90.00 gamma=106.88
Last column: nearest neighbours and their distance in Å.
Positions (direct):
Er1 0.4062 0.8125 0.7719  4 Sm 3.49-3.67, 2 Er 3.50, 3 Tm 3.52-3.58, 2 La 3.62
Er2 0.5938 0.1875 0.2281  4 Sm 3.49-3.67, 2 Er 3.50, 3 Tm 3.52-3.58, 2 La 3.62
Sm1 0.3450 0.6899 0.0752  1 Tm 3.41, 4 Er 3.49-3.67, 5 Sm 3.50-3.67
Sm2 0.6550 0.3101 0.9248  1 Tm 3.41, 4 Er 3.49-3.67, 5 Sm 3.50-3.67
Tm1 0.7047 0.4094 0.6291  1 Sm 3.41, 3 La 3.45-3.51, 4 Tm 3.48-3.50, 3 Er 3.52-3.58
Tm2 0.2953 0.5906 0.3709  1 Sm 3.41, 3 La 3.45-3.51, 4 Tm 3.48-3.50, 3 Er 3.52-3.58
La1 0.0000 0.0000 0.5000  6 Tm 3.45-3.51, 2 La 3.50, 4 Er 3.62

Output
- Space group: C2/m
- D(E_F): 1.72 states/eV/atom
- DFT formation energy: 0.1489 eV per atom



(3)
Compound: Nd8Ho6Tm
Source: Alexandria via LeMat-Bulk
Functional: PBE
Structure: optimized geometry

Unit cell a=9.1238 b=9.1238 c=8.7423 alpha=58.55 beta=58.55 gamma=60.00
Last column: nearest neighbours and their distance in Å.
Positions (direct):
Ho1 0.0963 0.2471 0.1165  3 Nd 3.37-3.47, 1 Tm 3.49, 4 Ho 3.57-3.77
Ho2 0.4599 0.9037 0.8835  3 Nd 3.37-3.47, 1 Tm 3.49, 4 Ho 3.57-3.77
Ho3 0.2471 0.5401 0.1165  3 Nd 3.37-3.47, 1 Tm 3.49, 4 Ho 3.57-3.77
Ho4 0.9037 0.7529 0.8835  3 Nd 3.37-3.47, 1 Tm 3.49, 4 Ho 3.57-3.77
Ho5 0.5401 0.0963 0.1165  3 Nd 3.37-3.47, 1 Tm 3.49, 4 Ho 3.57-3.77
Ho6 0.7529 0.4599 0.8835  3 Nd 3.37-3.47, 1 Tm 3.49, 4 Ho 3.57-3.77
Nd1 0.1125 0.7521 0.4193  3 Ho 3.44-3.83, 5 Nd 3.45-3.47, 1 Tm 3.54
Nd2 0.2838 0.8875 0.5807  3 Ho 3.44-3.83, 5 Nd 3.45-3.47, 1 Tm 3.54
Nd3 0.7521 0.7162 0.4193  3 Ho 3.44-3.83, 5 Nd 3.45-3.47, 1 Tm 3.54
Nd4 0.4220 0.4220 0.7340  4 Nd 3.26-3.45, 3 Ho 3.37
Nd5 0.2479 0.2838 0.5807  3 Ho 3.44-3.83, 5 Nd 3.45-3.47, 1 Tm 3.54
Nd6 0.5780 0.5780 0.2660  4 Nd 3.26-3.45, 3 Ho 3.37
Nd7 0.8875 0.2479 0.5807  3 Ho 3.44-3.83, 5 Nd 3.45-3.47, 1 Tm 3.54
Nd8 0.7162 0.1125 0.4193  3 Ho 3.44-3.83, 5 Nd 3.45-3.47, 1 Tm 3.54
Tm1 0.0000 0.0000 0.0000  6 Ho 3.49, 6 Nd 3.54

Output
- Space group: R-3
- D(E_F): 1.53 states/eV/atom
- DFT formation energy: 0.1240 eV per atom



(4)
Compound: BiAs2PdPb
Source: Alexandria via LeMat-Bulk
Functional: PBE
Structure: optimized geometry

Unit cell a=4.9105 b=5.5143 c=4.9105 alpha=90.00 beta=90.00 gamma=90.00
Last column: nearest neighbours and their distance in Å.
Positions (direct):
Bi1 0.5000 0.5000 0.5000  4 Pb 3.47, 8 As 3.69
As1 0.5000 0.0000 0.0000  2 Pd 2.46
As2 0.0000 0.0000 0.5000  2 Pd 2.46
Pd1 0.0000 0.0000 0.0000  4 As 2.46
Pb1 0.0000 0.5000 0.0000  2 Pd 2.76

Output
- Space group: P4/mmm
- D(E_F): 0.55 states/eV/atom
- DFT formation energy: 0.2821 eV per atom



(5)
Compound: GeBPtC2
Source: Alexandria via LeMat-Bulk
Functional: PBE
Structure: optimized geometry

Unit cell a=3.3240 b=7.8747 c=3.3240 alpha=90.00 beta=90.00 gamma=90.00
Last column: nearest neighbours and their distance in Å.
Positions (direct):
C1 0.5000 0.0000 0.0000  2 B 1.66
C2 0.0000 0.0000 0.5000  2 B 1.66
Pt1 0.0000 0.5000 0.0000  4 Ge 2.35
B1 0.0000 0.0000 0.0000  4 C 1.66
Ge1 0.5000 0.5000 0.5000  4 Pt 2.35

Output
- Space group: P4/mmm
- D(E_F): 0.49 states/eV/atom
- DFT formation energy: 1.6146 eV per atom



(6)
Compound: HoMgZr2
Source: Alexandria via LeMat-Bulk
Functional: PBE
Structure: optimized geometry

Unit cell a=3.2518 b=3.2518 c=9.1932 alpha=90.00 beta=90.00 gamma=90.00
Last column: nearest neighbours and their distance in Å.
Positions (direct):
Ho1 0.5000 0.5000 0.5000  4 Ho 3.25, 8 Zr 3.31
Zr1 0.0000 0.0000 0.2414  4 Mg 3.20, 4 Zr 3.25, 4 Ho 3.31
Zr2 0.0000 0.0000 0.7586  4 Mg 3.20, 4 Zr 3.25, 4 Ho 3.31
Mg1 0.5000 0.5000 0.0000  8 Zr 3.20, 4 Mg 3.25

Output
- Space group: P4/mmm
- D(E_F): 1.03 states/eV/atom
- DFT formation energy: 0.0854 eV per atom